(1)
Computed, not measured: an optimized crystal structure of Ce2Tc3Ge4 at the PBE-GGA level of DFT.

Lattice parameters (Å, degrees): 6.218 7.117 8.070 90.00 112.66 90.00
Atoms (fractional coordinates):
Ge: 0.693 0.750 0.885
Ge: 0.678 0.517 0.356
Ge: 0.822 0.017 0.644
Tc: 0.516 0.750 0.532
Ce: 0.113 0.590 0.227
Ge: 0.178 0.983 0.356
Ge: 0.807 0.250 0.115
Tc: 0.984 0.250 0.468
Tc: 0.484 0.250 0.468
Ge: 0.307 0.250 0.115
Ce: 0.613 0.910 0.227
Tc: 0.000 0.000 0.000
Tc: 0.500 0.500 0.000
Ge: 0.322 0.483 0.644
Ce: 0.887 0.410 0.773
Ge: 0.193 0.750 0.885
Tc: 0.016 0.750 0.532
Ce: 0.387 0.090 0.773

Results
The value obtained for the total energy is -7.26 eV per atom. Its crystal system is orthorhombic.

=====

(2)
Computed, not measured: an optimized crystal structure of Ce8TcGe2 at the PBE-GGA level of DFT.

Lattice parameters (Å, degrees): 4.820 7.369 8.592 111.50 106.29 90.00
Each line ends with the local moment (μB).
Atoms (fractional coordinates):
Ce: 0.438 0.579 0.876  0.12
Ge: 0.166 0.647 0.332  -0.01
Ce: 0.788 0.714 0.576  0.37
Ce: 0.013 0.794 0.026  0.10
Ce: 0.987 0.206 0.974  0.10
Ce: 0.562 0.421 0.124  0.12
Ce: 0.325 0.074 0.649  0.11
Ge: 0.834 0.353 0.668  -0.01
Tc: 0.500 0.000 0.000  -0.03
Ce: 0.212 0.286 0.424  0.37
Ce: 0.675 0.926 0.351  0.11

Results
The value obtained for the total energy is -6.37 eV per atom. Its crystal system is monoclinic.